## Sm4HoSn (PBE-GGA)

Data for a geometry-optimized Sm4HoSn structure.

Lattice parameters (Å, degrees): 12.056 12.056 6.748 90.00 90.00 154.20
Sites, in units of the cell vectors:
Sm: 0.081 0.919 0.750
Sm: 0.202 0.798 0.502
Sm: 0.202 0.798 0.998
Sm: 0.353 0.647 0.750
Sm: 0.647 0.353 0.250
Sm: 0.798 0.202 0.002
Sm: 0.798 0.202 0.498
Sm: 0.919 0.081 0.250
Ho: 0.063 0.937 0.250
Ho: 0.937 0.063 0.750
Sn: 0.332 0.668 0.250
Sn: 0.668 0.332 0.750

Summary:
E_form: 0.077 eV per atom
SG: Cmcm
N(E_F): 1.439 states/eV/atom
uncorrected energy: -0.3307 Ry/atom
magnetic moment: 0.00 μB per formula unit


## SmHoSnTe (PBE-GGA)

Data for a geometry-optimized SmHoSnTe structure.

Lattice parameters (Å, degrees): 4.419 4.419 21.789 90.00 90.00 120.00
Sites, in units of the cell vectors:
Sm: 0.000 0.000 0.000
Sm: 0.333 0.667 0.667
Sm: 0.667 0.333 0.333
Ho: 0.000 0.000 0.508
Ho: 0.333 0.667 0.175
Ho: 0.667 0.333 0.841
Sn: 0.000 0.000 0.252
Sn: 0.333 0.667 0.919
Sn: 0.667 0.333 0.585
Te: 0.000 0.000 0.757
Te: 0.333 0.667 0.423
Te: 0.667 0.333 0.090

Summary:
formation energy without anion corrections: -1.058 eV per atom
SG: R3m
N(E_F): 0.329 states/eV/atom
uncorrected energy: -0.3799 Ry/atom
magnetic moment: 0.00 μB per formula unit


## SmHo2Zn2Sn2 (PBE-GGA)

Data for a geometry-optimized SmHo2Zn2Sn2 structure.

Lattice parameters (Å, degrees): 9.638 9.638 9.638 28.02 28.02 28.02
Sites, in units of the cell vectors:
Sm: 0.000 0.000 0.000
Ho: 0.132 0.132 0.132
Ho: 0.868 0.868 0.868
Zn: 0.422 0.422 0.422
Zn: 0.578 0.578 0.578
Sn: 0.266 0.266 0.266
Sn: 0.734 0.734 0.734

Summary:
E_form: -0.336 eV per atom
SG: R-3m
N(E_F): 1.010 states/eV/atom
uncorrected energy: -0.2812 Ry/atom
magnetic moment: 0.00 μB per formula unit


## SmHoZnSn (PBE-GGA)

Data for a geometry-optimized SmHoZnSn structure.

Lattice parameters (Å, degrees): 7.388 7.388 7.388 90.00 90.00 90.00
Sites, in units of the cell vectors:
Sm: 0.000 0.000 0.000
Sm: 0.000 0.500 0.500
Sm: 0.500 0.000 0.500
Sm: 0.500 0.500 0.000
Ho: 0.000 0.000 0.500
Ho: 0.000 0.500 0.000
Ho: 0.500 0.000 0.000
Ho: 0.500 0.500 0.500
Zn: 0.250 0.250 0.250
Zn: 0.250 0.750 0.750
Zn: 0.750 0.250 0.750
Zn: 0.750 0.750 0.250
Sn: 0.250 0.250 0.750
Sn: 0.250 0.750 0.250
Sn: 0.750 0.250 0.250
Sn: 0.750 0.750 0.750

Summary:
E_form: -0.502 eV per atom
SG: F-43m
N(E_F): 0.527 states/eV/atom
uncorrected energy: -0.3047 Ry/atom
magnetic moment: 0.00 μB per formula unit


## SrSmHo (PBE-GGA)

Data for a geometry-optimized SrSmHo structure.

Lattice parameters (Å, degrees): 3.746 3.746 16.161 90.00 90.00 90.00
Sites, in units of the cell vectors:
Sr: 0.000 0.000 0.000
Sr: 0.500 0.500 0.500
Sm: 0.000 0.000 0.682
Sm: 0.500 0.500 0.182
Ho: 0.000 0.000 0.321
Ho: 0.500 0.500 0.821

Summary:
E_form: 0.121 eV per atom
SG: I4mm
N(E_F): 1.450 states/eV/atom
uncorrected energy: -0.2601 Ry/atom
magnetic moment: 0.00 μB per formula unit
energy above the lowest structure with this stoichiometry: 0.000 eV per atom


## SrSm2Ho (PBE-GGA)

Data for a geometry-optimized SrSm2Ho structure.

Lattice parameters (Å, degrees): 5.250 5.250 5.241 90.00 90.00 90.00
Sites, in units of the cell vectors:
Sr: 0.000 0.000 0.000
Sm: 0.000 0.500 0.500
Sm: 0.500 0.000 0.500
Ho: 0.500 0.500 0.000

Summary:
E_form: 0.187 eV per atom
SG: P4/mmm
N(E_F): 1.691 states/eV/atom
uncorrected energy: -0.2747 Ry/atom
magnetic moment: 0.00 μB per formula unit
energy above the lowest structure with this stoichiometry: 0.085 eV per atom


## SrSm2Ho (PBE-GGA)

Data for a geometry-optimized SrSm2Ho structure.

Lattice parameters (Å, degrees): 3.703 3.703 36.845 90.00 90.00 120.00
Sites, in units of the cell vectors:
Sr: 0.000 0.000 0.000
Sr: 0.333 0.667 0.667
Sr: 0.667 0.333 0.333
Sm: 0.000 0.000 0.576
Sm: 0.000 0.000 0.756
Sm: 0.333 0.667 0.243
Sm: 0.333 0.667 0.423
Sm: 0.667 0.333 0.090
Sm: 0.667 0.333 0.910
Ho: 0.000 0.000 0.166
Ho: 0.333 0.667 0.833
Ho: 0.667 0.333 0.499

Summary:
E_form: 0.109 eV per atom
SG: R3m
N(E_F): 1.341 states/eV/atom
uncorrected energy: -0.2804 Ry/atom
magnetic moment: 0.00 μB per formula unit
energy above the lowest structure with this stoichiometry: 0.007 eV per atom


## SrSm2Ho (PBE-GGA)

Data for a geometry-optimized SrSm2Ho structure.

Lattice parameters (Å, degrees): 3.707 3.707 10.674 90.00 90.00 90.00
Sites, in units of the cell vectors:
Sr: 0.000 0.000 0.000
Sm: 0.500 0.500 0.278
Sm: 0.500 0.500 0.722
Ho: 0.000 0.000 0.500

Summary:
E_form: 0.102 eV per atom
SG: P4/mmm
N(E_F): 1.418 states/eV/atom
uncorrected energy: -0.2809 Ry/atom
magnetic moment: 0.00 μB per formula unit
energy above the lowest structure with this stoichiometry: 0.000 eV per atom